Record 1
DFT (GGA+U) results for FeGeOF2 after structural relaxation.

```
data_FeGeOF2
_symmetry_space_group_name_H-M 'P 4/m m m'
_symmetry_Int_Tables_number 123
_symmetry_space_group_name_Hall '-P 4 2'
_cell_length_a 4.236
_cell_length_b 4.236
_cell_length_c 3.820
_cell_angle_alpha 90.00
_cell_angle_beta 90.00
_cell_angle_gamma 90.00
loop_
_atom_site_label
_atom_site_fract_x
_atom_site_fract_y
_atom_site_fract_z
_atom_site_occupancy
Fe1 0.000 0.000 0.000 1
Ge1 0.500 0.500 0.500 1
O1 0.500 0.500 0.000 1
F1 0.000 0.500 0.500 1
```

Record 2
DFT (GGA+U) results for FeGeOF2 after structural relaxation.

```
data_FeGeOF2
_symmetry_space_group_name_H-M 'P 4/m m m'
_symmetry_Int_Tables_number 123
_symmetry_space_group_name_Hall '-P 4 2'
_cell_length_a 4.034
_cell_length_b 4.034
_cell_length_c 4.058
_cell_angle_alpha 90.00
_cell_angle_beta 90.00
_cell_angle_gamma 90.00
loop_
_atom_site_label
_atom_site_fract_x
_atom_site_fract_y
_atom_site_fract_z
_atom_site_occupancy
Fe1 0.000 0.000 0.000 1
Ge1 0.500 0.500 0.500 1
O1 0.000 0.000 0.500 1
F1 0.000 0.500 0.000 1
```

Record 3
DFT (GGA+U) results for FeGe2OsF after structural relaxation.

```
data_FeGe2OsF
_symmetry_space_group_name_H-M 'P 4/m m m'
_symmetry_Int_Tables_number 123
_symmetry_space_group_name_Hall '-P 4 2'
_cell_length_a 4.425
_cell_length_b 4.425
_cell_length_c 4.459
_cell_angle_alpha 90.00
_cell_angle_beta 90.00
_cell_angle_gamma 90.00
loop_
_atom_site_label
_atom_site_fract_x
_atom_site_fract_y
_atom_site_fract_z
_atom_site_occupancy
Fe1 0.000 0.000 0.000 1
Ge1 0.000 0.500 0.000 1
Os1 0.000 0.000 0.500 1
F1 0.500 0.500 0.500 1
```

Record 4
DFT (GGA+U) results for FeGeRh2F after structural relaxation.

```
data_FeGeRh2F
_symmetry_space_group_name_H-M 'P 4/m m m'
_symmetry_Int_Tables_number 123
_symmetry_space_group_name_Hall '-P 4 2'
_cell_length_a 4.398
_cell_length_b 4.398
_cell_length_c 4.506
_cell_angle_alpha 90.00
_cell_angle_beta 90.00
_cell_angle_gamma 90.00
loop_
_atom_site_label
_atom_site_fract_x
_atom_site_fract_y
_atom_site_fract_z
_atom_site_occupancy
Fe1 0.000 0.000 0.000 1
Ge1 0.000 0.000 0.500 1
Rh1 0.000 0.500 0.000 1
F1 0.500 0.500 0.500 1
```

| no. | total energy (eV/atom) |
| --- | --- |
| 1 | -4.8435 |
| 2 | -5.1730 |
| 3 | -4.3771 |
| 4 | -4.0887 |